Compound: BeFeAsRu
Source: Alexandria via LeMat-Bulk
Functional: PBE-GGA
Structure: relaxed

a = 5.6929 Å, b = 5.6929 Å, c = 5.6929 Å
α = 90.00°, β = 90.00°, γ = 90.00°
Space group F-43m (No. 216)
Asymmetric unit:
Be: 0.0000 0.0000 0.0000
Fe: 0.2500 0.2500 0.2500
As: 0.0000 0.0000 0.5000
Ru: 0.2500 0.2500 0.7500

Properties
DFT total energy, eV per cell: -106.60
ΔE_f, meV per atom: -134
Total magnetic moment, μB/f.u.: 0.00